Record 1
First-principles (PBE) data for CrNi2Ir after structural relaxation, as listed in the Alexandria database.

The structure in extended XYZ format:
```
4
Lattice="2.623 0.000 0.000 0.000 2.623 0.000 0.000 0.000 7.045" Properties=species:S:1:pos:R:3 pbc="T T T"
Cr 0.000 0.000 0.000
Ni 0.000 0.000 3.677
Ni 1.311 1.311 5.375
Ir 1.311 1.311 1.798
```

Crystal system = tetragonal
Raw total energy = -7.53 eV per atom
Total moment = 0.3 μB per formula unit
Energy of formation = -0.054 eV per formula unit

***

Record 2
First-principles (PBE) data for Sm2YHoTm6 after structural relaxation, as listed in the Alexandria database.

The structure in extended XYZ format:
```
20
Lattice="4.464 -7.473 0.000 4.464 7.473 0.000 -1.418 0.000 9.439" Properties=species:S:1:pos:R:3 pbc="T T T"
Sm 2.153 0.801 0.409
Sm 1.444 -0.801 5.129
Sm 6.065 0.801 4.310
Sm 5.356 -0.801 9.030
Y 4.109 7.180 2.360
Y 3.400 -7.180 7.079
Ho 3.400 1.382 7.079
Ho 4.109 -1.382 2.360
Tm 2.403 4.121 1.756
Tm 3.108 4.623 5.260
Tm 3.692 4.623 8.898
Tm 2.993 1.583 3.596
Tm 5.816 4.121 2.963
Tm 5.225 1.583 1.124
Tm 2.284 -1.583 8.315
Tm 1.693 -4.121 6.476
Tm 4.516 -1.583 5.843
Tm 3.817 -4.623 0.541
Tm 4.401 -4.623 4.179
Tm 5.106 -4.121 7.683
```

Crystal system = monoclinic
Raw total energy = -4.61 eV per atom
Total moment = 0.0 μB per formula unit
Energy of formation = 1.173 eV per formula unit